DFT (PBEsol) results for IrSeIN2 after structural relaxation.

Cell and atoms, written as CIF:
```
data_IrSeIN2
_chemical_formula_sum 'Ir1 Se1 I1 N2'
_space_group_name_H-M_alt 'P 4/m m m'
_space_group_IT_number 123
_space_group_name_Hall '-P 4 2'
_cell_length_a 3.697
_cell_length_b 3.697
_cell_length_c 7.049
_cell_angle_alpha 90.00
_cell_angle_beta 90.00
_cell_angle_gamma 90.00
loop_
_atom_site_label
_atom_site_type_symbol
_atom_site_fract_x
_atom_site_fract_y
_atom_site_fract_z
_atom_site_occupancy
Ir1 Ir 0.000 0.000 0.000 1
Se1 Se 0.500 0.500 0.500 1
I1 I 0.500 0.500 0.000 1
N1 N 0.000 0.500 0.500 1
```

Calculated values
Formation energy (no corrections) ... 930 kJ/mol of formula units
Calculated total energy ... -4.572 eV/atom

***

DFT (PBEsol) results for TaIrIN2 after structural relaxation.

Cell and atoms, written as CIF:
```
data_TaIrIN2
_chemical_formula_sum 'Ta1 Ir1 I1 N2'
_space_group_name_H-M_alt 'P 4/m m m'
_space_group_IT_number 123
_space_group_name_Hall '-P 4 2'
_cell_length_a 3.926
_cell_length_b 3.926
_cell_length_c 5.855
_cell_angle_alpha 90.00
_cell_angle_beta 90.00
_cell_angle_gamma 90.00
loop_
_atom_site_label
_atom_site_type_symbol
_atom_site_fract_x
_atom_site_fract_y
_atom_site_fract_z
_atom_site_occupancy
Ta1 Ta 0.000 0.000 0.000 1
Ir1 Ir 0.500 0.500 0.500 1
I1 I 0.000 0.000 0.500 1
N1 N 0.000 0.500 0.000 1
```

Calculated values
Formation energy (no corrections) ... 460 kJ/mol of formula units
Calculated total energy ... -7.285 eV/atom

***

DFT (PBEsol) results for TlIrI2N after structural relaxation.

Cell and atoms, written as CIF:
```
data_TlIrI2N
_chemical_formula_sum 'Tl1 Ir1 I2 N1'
_space_group_name_H-M_alt 'P 4/m m m'
_space_group_IT_number 123
_space_group_name_Hall '-P 4 2'
_cell_length_a 5.725
_cell_length_b 5.725
_cell_length_c 3.730
_cell_angle_alpha 90.00
_cell_angle_beta 90.00
_cell_angle_gamma 90.00
loop_
_atom_site_label
_atom_site_type_symbol
_atom_site_fract_x
_atom_site_fract_y
_atom_site_fract_z
_atom_site_occupancy
Tl1 Tl 0.000 0.000 0.000 1
Ir1 Ir 0.500 0.500 0.500 1
I1 I 0.000 0.500 0.500 1
N1 N 0.500 0.500 0.000 1
```

Calculated values
Formation energy (no corrections) ... 46 kJ/mol of formula units
Calculated total energy ... -4.808 eV/atom

***

DFT (PBEsol) results for Na3IrI after structural relaxation.

Cell and atoms, written as CIF:
```
data_Na3IrI
_chemical_formula_sum 'Na3 Ir1 I1'
_space_group_name_H-M_alt 'P m -3 m'
_space_group_IT_number 221
_space_group_name_Hall '-P 4 2 3'
_cell_length_a 5.590
_cell_length_b 5.590
_cell_length_c 5.590
_cell_angle_alpha 90.00
_cell_angle_beta 90.00
_cell_angle_gamma 90.00
loop_
_atom_site_label
_atom_site_type_symbol
_atom_site_fract_x
_atom_site_fract_y
_atom_site_fract_z
_atom_site_occupancy
Na1 Na 0.000 0.000 0.500 1
Ir1 Ir 0.500 0.500 0.500 1
I1 I 0.000 0.000 0.000 1
```

Calculated values
Formation energy (no corrections) ... 341 kJ/mol of formula units
Calculated total energy ... -2.450 eV/atom

***

DFT (PBEsol) results for NaIrPbI2 after structural relaxation.

Cell and atoms, written as CIF:
```
data_NaIrPbI2
_chemical_formula_sum 'Na1 Ir1 Pb1 I2'
_space_group_name_H-M_alt 'P 4/m m m'
_space_group_IT_number 123
_space_group_name_Hall '-P 4 2'
_cell_length_a 5.643
_cell_length_b 5.643
_cell_length_c 5.088
_cell_angle_alpha 90.00
_cell_angle_beta 90.00
_cell_angle_gamma 90.00
loop_
_atom_site_label
_atom_site_type_symbol
_atom_site_fract_x
_atom_site_fract_y
_atom_site_fract_z
_atom_site_occupancy
Na1 Na 0.000 0.000 0.000 1
Ir1 Ir 0.500 0.500 0.500 1
Pb1 Pb 0.500 0.500 0.000 1
I1 I 0.000 0.500 0.500 1
```

Calculated values
Formation energy (no corrections) ... 17 kJ/mol of formula units
Calculated total energy ... -3.715 eV/atom

***

DFT (PBEsol) results for NbIrI2 after structural relaxation.

Cell and atoms, written as CIF:
```
data_NbIrI2
_chemical_formula_sum 'Nb4 Ir4 I8'
_space_group_name_H-M_alt 'I -4 2 d'
_space_group_IT_number 122
_space_group_name_Hall 'I -4 2bw'
_cell_length_a 6.261
_cell_length_b 6.261
_cell_length_c 11.157
_cell_angle_alpha 90.00
_cell_angle_beta 90.00
_cell_angle_gamma 90.00
loop_
_atom_site_label
_atom_site_type_symbol
_atom_site_fract_x
_atom_site_fract_y
_atom_site_fract_z
_atom_site_occupancy
Nb1 Nb 0.000 0.000 0.000 1
Ir1 Ir 0.000 0.000 0.500 1
I1 I 0.234 0.250 0.625 1
```

Calculated values
Formation energy (no corrections) ... 379 kJ/mol of formula units
Calculated total energy ... -5.062 eV/atom

***

DFT (PBEsol) results for NbIr3I after structural relaxation.

Cell and atoms, written as CIF:
```
data_NbIr3I
_chemical_formula_sum 'Nb1 Ir3 I1'
_space_group_name_H-M_alt 'P m -3 m'
_space_group_IT_number 221
_space_group_name_Hall '-P 4 2 3'
_cell_length_a 4.745
_cell_length_b 4.745
_cell_length_c 4.745
_cell_angle_alpha 90.00
_cell_angle_beta 90.00
_cell_angle_gamma 90.00
loop_
_atom_site_label
_atom_site_type_symbol
_atom_site_fract_x
_atom_site_fract_y
_atom_site_fract_z
_atom_site_occupancy
Nb1 Nb 0.000 0.000 0.000 1
Ir1 Ir 0.000 0.500 0.500 1
I1 I 0.500 0.500 0.500 1
```

Calculated values
Formation energy (no corrections) ... 1044 kJ/mol of formula units
Calculated total energy ... -6.248 eV/atom

***

DFT (PBEsol) results for NbIrI2O after structural relaxation.

Cell and atoms, written as CIF:
```
data_NbIrI2O
_chemical_formula_sum 'Nb1 Ir1 I2 O1'
_space_group_name_H-M_alt 'P 4/m m m'
_space_group_IT_number 123
_space_group_name_Hall '-P 4 2'
_cell_length_a 5.488
_cell_length_b 5.488
_cell_length_c 3.688
_cell_angle_alpha 90.00
_cell_angle_beta 90.00
_cell_angle_gamma 90.00
loop_
_atom_site_label
_atom_site_type_symbol
_atom_site_fract_x
_atom_site_fract_y
_atom_site_fract_z
_atom_site_occupancy
Nb1 Nb 0.000 0.000 0.000 1
Ir1 Ir 0.500 0.500 0.500 1
I1 I 0.000 0.500 0.500 1
O1 O 0.500 0.500 0.000 1
```

Calculated values
Formation energy (no corrections) ... 213 kJ/mol of formula units
Calculated total energy ... -5.443 eV/atom

***

DFT (PBEsol) results for NbIr2RuI after structural relaxation.

Cell and atoms, written as CIF:
```
data_NbIr2RuI
_chemical_formula_sum 'Nb1 Ir2 Ru1 I1'
_space_group_name_H-M_alt 'P 4/m m m'
_space_group_IT_number 123
_space_group_name_Hall '-P 4 2'
_cell_length_a 4.726
_cell_length_b 4.726
_cell_length_c 4.897
_cell_angle_alpha 90.00
_cell_angle_beta 90.00
_cell_angle_gamma 90.00
loop_
_atom_site_label
_atom_site_type_symbol
_atom_site_fract_x
_atom_site_fract_y
_atom_site_fract_z
_atom_site_occupancy
Nb1 Nb 0.000 0.000 0.000 1
Ir1 Ir 0.000 0.500 0.500 1
Ru1 Ru 0.500 0.500 0.000 1
I1 I 0.000 0.000 0.500 1
```

Calculated values
Formation energy (no corrections) ... 1143 kJ/mol of formula units
Calculated total energy ... -6.111 eV/atom

***

DFT (PBEsol) results for NbSbIrI2 after structural relaxation.

Cell and atoms, written as CIF:
```
data_NbSbIrI2
_chemical_formula_sum 'Nb1 Sb1 Ir1 I2'
_space_group_name_H-M_alt 'P 4/m m m'
_space_group_IT_number 123
_space_group_name_Hall '-P 4 2'
_cell_length_a 5.377
_cell_length_b 5.377
_cell_length_c 4.956
_cell_angle_alpha 90.00
_cell_angle_beta 90.00
_cell_angle_gamma 90.00
loop_
_atom_site_label
_atom_site_type_symbol
_atom_site_fract_x
_atom_site_fract_y
_atom_site_fract_z
_atom_site_occupancy
Nb1 Nb 0.000 0.000 0.000 1
Sb1 Sb 0.500 0.500 0.000 1
Ir1 Ir 0.500 0.500 0.500 1
I1 I 0.000 0.500 0.500 1
```

Calculated values
Formation energy (no corrections) ... 527 kJ/mol of formula units
Calculated total energy ... -4.654 eV/atom

***

DFT (PBEsol) results for NbTe2IrI after structural relaxation.

Cell and atoms, written as CIF:
```
data_NbTe2IrI
_chemical_formula_sum 'Nb1 Te2 Ir1 I1'
_space_group_name_H-M_alt 'P 4/m m m'
_space_group_IT_number 123
_space_group_name_Hall '-P 4 2'
_cell_length_a 5.128
_cell_length_b 5.128
_cell_length_c 5.245
_cell_angle_alpha 90.00
_cell_angle_beta 90.00
_cell_angle_gamma 90.00
loop_
_atom_site_label
_atom_site_type_symbol
_atom_site_fract_x
_atom_site_fract_y
_atom_site_fract_z
_atom_site_occupancy
Nb1 Nb 0.000 0.000 0.000 1
Te1 Te 0.000 0.500 0.500 1
Ir1 Ir 0.500 0.500 0.500 1
I1 I 0.500 0.500 0.000 1
```

Calculated values
Formation energy (no corrections) ... 480 kJ/mol of formula units
Calculated total energy ... -4.897 eV/atom

***

DFT (PBEsol) results for Ni3IrI after structural relaxation.

Cell and atoms, written as CIF:
```
data_Ni3IrI
_chemical_formula_sum 'Ni3 Ir1 I1'
_space_group_name_H-M_alt 'P m -3 m'
_space_group_IT_number 221
_space_group_name_Hall '-P 4 2 3'
_cell_length_a 4.544
_cell_length_b 4.544
_cell_length_c 4.544
_cell_angle_alpha 90.00
_cell_angle_beta 90.00
_cell_angle_gamma 90.00
loop_
_atom_site_label
_atom_site_type_symbol
_atom_site_fract_x
_atom_site_fract_y
_atom_site_fract_z
_atom_site_occupancy
Ni1 Ni 0.000 0.000 0.500 1
Ir1 Ir 0.000 0.000 0.000 1
I1 I 0.500 0.500 0.500 1
```

Calculated values
Formation energy (no corrections) ... 587 kJ/mol of formula units
Calculated total energy ... -4.796 eV/atom